No. 1
A relaxed Ta2RuW crystal. Source: the Alexandria database, functional PBE.

a = 2.901 Å, b = 2.901 Å, c = 8.030 Å
α = 90.00°, β = 90.00°, γ = 90.00°
Positions (direct):
Ta 0.000 0.000 0.000
Ta 0.500 0.500 0.279
Ru 0.500 0.500 0.758
W 0.000 0.000 0.550

## Properties
Space-group type ... No. 99

=====

No. 2
A relaxed Y2TaRuW crystal. Source: the Alexandria database, functional PBE.

a = 5.377 Å, b = 5.377 Å, c = 4.591 Å
α = 90.00°, β = 90.00°, γ = 90.00°
Positions (direct):
Y 0.000 0.500 0.000
Y 0.500 0.000 0.000
Ta 0.000 0.000 0.000
Ru 0.000 0.000 0.500
W 0.500 0.500 0.500

## Properties
Space-group type ... No. 123

=====

No. 3
A relaxed YTa2Ru crystal. Source: the Alexandria database, functional PBE.

a = 5.606 Å, b = 5.606 Å, c = 5.606 Å
α = 146.59°, β = 127.45°, γ = 63.72°
Positions (direct):
Y 0.000 0.000 0.000
Ta 0.468 0.468 0.000
Ta 0.725 0.225 0.500
Ru 0.250 0.750 0.500

## Properties
Offset from the most stable computed form ... 0.174 eV/atom
Space-group type ... No. 44

=====

No. 4
A relaxed YTa2Ru crystal. Source: the Alexandria database, functional PBE.

a = 5.513 Å, b = 5.513 Å, c = 2.943 Å
α = 90.00°, β = 90.00°, γ = 121.11°
Positions (direct):
Y 0.000 0.000 0.000
Ta 0.000 0.500 0.500
Ta 0.500 0.000 0.500
Ru 0.500 0.500 0.000

## Properties
Offset from the most stable computed form ... 0.413 eV/atom
Space-group type ... No. 65

=====

No. 5
A relaxed YTaRu2 crystal. Source: the Alexandria database, functional PBE.

a = 4.614 Å, b = 4.614 Å, c = 4.614 Å
α = 60.00°, β = 60.00°, γ = 60.00°
Positions (direct):
Y 0.000 0.000 0.000
Ta 0.250 0.250 0.250
Ru 0.500 0.500 0.500
Ru 0.750 0.750 0.750

## Properties
Space-group type ... No. 216

=====

No. 6
A relaxed YTa2Ru2 crystal. Source: the Alexandria database, functional PBE.

a = 6.183 Å, b = 6.183 Å, c = 6.183 Å
α = 138.81°, β = 138.81°, γ = 59.67°
Positions (direct):
Y 0.000 0.000 0.000
Ta 0.250 0.750 0.500
Ta 0.750 0.250 0.500
Ru 0.380 0.380 0.000
Ru 0.620 0.620 0.000

## Properties
Offset from the most stable computed form ... 0.000 eV/atom
Space-group type ... No. 139

=====

No. 7
A relaxed YTaRu2 crystal. Source: the Alexandria database, functional PBE.

a = 5.921 Å, b = 5.921 Å, c = 5.921 Å
α = 105.44°, β = 105.44°, γ = 117.88°
Positions (direct):
Y 0.000 0.000 0.000
Y 0.750 0.250 0.500
Ta 0.250 0.750 0.500
Ta 0.500 0.500 0.000
Ru 0.162 0.625 0.037
Ru 0.375 0.412 0.537
Ru 0.588 0.125 0.963
Ru 0.875 0.838 0.463

## Properties
Space-group type ... No. 122

=====

No. 8
A relaxed YTa2Ru crystal. Source: the Alexandria database, functional PBE.

a = 4.736 Å, b = 4.736 Å, c = 4.736 Å
α = 60.00°, β = 60.00°, γ = 60.00°
Positions (direct):
Y 0.000 0.000 0.000
Ta 0.250 0.250 0.250
Ta 0.500 0.500 0.500
Ru 0.750 0.750 0.750

## Properties
Offset from the most stable computed form ... 0.217 eV/atom
Space-group type ... No. 216

=====

Here are the calculated spin magnetization numbers, same order: 0.0, 2.5, 0.0, 0.0, 0.7, 0.0, 0.0, 0.0 (μB per cell).
Here are the calculated formation energy from the elements numbers, same order: 0.032, 1.569, 0.123, 0.362, 0.227, -0.296, 0.183, 0.166 (eV per atom).